Compound: Nd4Ho5Mg
Source: the Alexandria database
Functional: PBE
Structure: relaxed

abc: 4.1134 4.1134 18.9204
angles: 90.00 90.00 90.00
Space group P4/mmm (No. 123)
Unique sites:
Nd1 0.0000 0.0000 0.1015 x2
Nd2 0.0000 0.0000 0.3005 x2
Ho1 0.5000 0.5000 0.0000 x1
Ho2 0.5000 0.5000 0.2030 x2
Ho3 0.5000 0.5000 0.4082 x2
Mg1 0.0000 0.0000 0.5000 x1

Calculated values
- energy above the lowest structure with this stoichiometry (meV/atom) = 0

Compound: Tb4PrTh
Source: the Alexandria database
Functional: PBE
Structure: relaxed

abc: 3.5852 6.1980 9.5153
angles: 96.03 100.86 106.58
Space group P-1 (No. 2)
Unique sites:
Tb1 0.1606 0.4953 0.3261 x2
Tb2 0.3262 0.9934 0.1604 x2
Pr1 0.0000 0.0000 0.5000 x1
Th1 0.5000 0.5000 0.0000 x1

Calculated values
- energy above the lowest structure with this stoichiometry (meV/atom) = 0

ΔE_f in eV/atom, matching the order above: 0.091, 0.025
Size of the total moment in μB/f.u., matching the order above: 0.00, 0.00
Calculated volume in Å³ per atom, matching the order above: 32.01, 32.70